A relaxed Na2TiMn2 crystal, computed with GGA-PBE.

The structure belongs to space group I4/mmm (No. 139); the cell edges are 3.578, 3.578 and 13.724 Å and the angles 90.00°, 90.00° and 90.00°. Symmetry generates all atoms from Na at (0.000, 0.500, 0.250), Ti at (0.000, 0.000, 0.000) and Mn at (0.000, 0.000, 0.430).

The offset from the most stable computed form is 0 meV per atom. Its magnetization is 0.00 μB per atom.